Entry 1:
# Tb4SnPt2

An optimized crystal structure of Tb4SnPt2 (GGA-PBE, Alexandria via LeMat-Bulk).

a = 8.0699 Å, b = 8.0699 Å, c = 8.0699 Å
α = 108.82°, β = 108.82°, γ = 110.77°
Closest atoms and distances in Å follow each position.
Element x y z (fractional)
Tb 0.2080 0.2755 0.5675  3 Pt 2.75-2.93, 1 Sn 3.08
Tb 0.2080 0.6405 0.9325  3 Pt 2.75-2.93, 1 Sn 3.08
Tb 0.2755 0.2080 0.0675  3 Pt 2.75-2.93, 1 Sn 3.08
Tb 0.3595 0.7920 0.5675  3 Pt 2.75-2.93, 1 Sn 3.08
Tb 0.6405 0.2080 0.4325  3 Pt 2.75-2.93, 1 Sn 3.08
Tb 0.7245 0.7920 0.9325  3 Pt 2.75-2.93, 1 Sn 3.08
Tb 0.7920 0.3595 0.0675  3 Pt 2.75-2.93, 1 Sn 3.08
Tb 0.7920 0.7245 0.4325  3 Pt 2.75-2.93, 1 Sn 3.08
Sn 0.1250 0.8750 0.2500  4 Tb 3.08
Sn 0.8750 0.1250 0.7500  4 Tb 3.08
Pt 0.0000 0.5000 0.5000  6 Tb 2.75-2.93
Pt 0.5000 0.0000 0.0000  6 Tb 2.75-2.93
Pt 0.5000 0.5000 0.0000  6 Tb 2.75-2.93
Pt 0.5000 0.5000 0.5000  6 Tb 2.75-2.93

Calculated values
- Formation enthalpy at 0 K: -5.6 eV/f.u.
- Final energy: -5.75 eV/atom

---

Entry 2:
# NiMo3Rh

An optimized crystal structure of NiMo3Rh (GGA-PBE, Alexandria via LeMat-Bulk).

a = 4.6613 Å, b = 4.6613 Å, c = 4.6613 Å
α = 90.00°, β = 90.00°, γ = 90.00°
Closest atoms and distances in Å follow each position.
Element x y z (fractional)
Ni 0.0000 0.0000 0.0000  12 Mo 3.30
Mo 0.0000 0.5000 0.5000  2 Rh 2.33
Mo 0.5000 0.0000 0.5000  2 Rh 2.33
Mo 0.5000 0.5000 0.0000  2 Rh 2.33
Rh 0.5000 0.5000 0.5000  6 Mo 2.33

Calculated values
- Formation enthalpy at 0 K: 9.5 eV/f.u.
- Final energy: -7.23 eV/atom
- E above lowest polymorph: 569 meV/atom

---

Entry 3:
# Pm2SiGe3

An optimized crystal structure of Pm2SiGe3 (GGA-PBE, Alexandria via LeMat-Bulk).

a = 8.7537 Å, b = 8.6062 Å, c = 5.9451 Å
α = 71.31°, β = 68.64°, γ = 40.04°
Closest atoms and distances in Å follow each position.
Element x y z (fractional)
Pm 0.2500 0.2500 0.2500  8 Ge 3.21, 4 Si 3.23
Pm 0.2497 0.7503 0.7503  10 Ge 3.20-3.29, 2 Si 3.25
Pm 0.7503 0.2497 0.2497  10 Ge 3.20-3.29, 2 Si 3.25
Pm 0.7500 0.7500 0.7500  8 Ge 3.21, 4 Si 3.23
Si 0.1676 0.1676 0.8324  3 Ge 2.46-2.47
Si 0.8324 0.8324 0.1676  3 Ge 2.46-2.47
Ge 0.1575 0.6712 0.3288  1 Si 2.46, 2 Ge 2.58-2.60
Ge 0.3288 0.8425 0.1575  1 Si 2.46, 2 Ge 2.58-2.60
Ge 0.3300 0.3300 0.6700  1 Si 2.47, 2 Ge 2.58
Ge 0.6700 0.6700 0.3300  1 Si 2.47, 2 Ge 2.58
Ge 0.6712 0.1575 0.8425  1 Si 2.46, 2 Ge 2.58-2.60
Ge 0.8425 0.3288 0.6712  1 Si 2.46, 2 Ge 2.58-2.60

Calculated values
- Final energy: -5.36 eV/atom
- Formation energy from raw total energies: -0.559 eV per atom
- E above lowest polymorph: 15 meV/atom

---

no.,DOS at the Fermi energy (states/eV/f.u.)
1,8.852
2,7.910
3,3.797